Material: Cr2BiMoOsRh
Method: DFT, PBE
State: optimized geometry

a b c (Å): 15.6760 3.0546 4.1797
angles (deg): 90.00 105.12 90.00
Atoms (fractional coordinates):
1 Cr 0.0000 0.0000 0.0000
2 Cr 0.1134 0.5000 0.1060
3 Cr 0.5000 0.5000 0.0000
4 Cr 0.6134 0.0000 0.1060
5 Bi 0.2913 0.5000 0.2922
6 Bi 0.7913 0.0000 0.2922
7 Mo 0.1376 0.0000 0.6342
8 Mo 0.6376 0.5000 0.6342
9 Os 0.4933 0.0000 0.4896
10 Os 0.9933 0.5000 0.4896
11 Rh 0.3631 0.0000 0.8621
12 Rh 0.8631 0.5000 0.8621

Summary:
For the density, the calculation gives 12.07 g/cm³. The calculation puts the magnetic moment at 0.0001 μB per atom. Its energy above the most stable polymorph in this dataset is 30.9 meV per atom. The calculation puts the density of states at the Fermi level at 9.4 states/eV/cell. For the calculated total energy, the calculation gives -101.4 eV for the cell shown.



Material: CrRe2BiMo
Method: DFT, PBE
State: optimized geometry

a b c (Å): 4.7360 4.7360 5.1434
angles (deg): 90.00 90.00 90.00
Atoms (fractional coordinates):
1 Cr 0.0000 0.0000 0.0000
2 Re 0.0000 0.5000 0.5000
3 Re 0.5000 0.0000 0.5000
4 Bi 0.5000 0.5000 0.0000
5 Mo 0.5000 0.5000 0.5000

Summary:
For the density, the calculation gives 10.50 g/cm³. The calculation puts the magnetic moment at 0.2083 μB per atom. The calculation puts the density of states at the Fermi level at 6.4 states/eV/cell. For the calculated total energy, the calculation gives -37.3 eV for the cell shown.